[1]
Here is Mn3SbH after structural relaxation from the Alexandria database. Energies are from PBE.

Computed properties:
Distance to the lowest polymorph of the same formula   0 meV/atom
Total moment   6.9 μB per formula unit

```
data_Mn3SbH
_cell_length_a 3.855
_cell_length_b 3.855
_cell_length_c 3.855
_cell_angle_alpha 90.00
_cell_angle_beta 90.00
_cell_angle_gamma 90.00
_symmetry_space_group_name_H-M 'P m -3 m'
_symmetry_Int_Tables_number 221
_symmetry_space_group_name_Hall '-P 4 2 3'
loop_
_atom_site_label
_atom_site_fract_x
_atom_site_fract_y
_atom_site_fract_z
Mn1 0.000 0.000 0.500
Sb1 0.500 0.500 0.500
H1 0.000 0.000 0.000
```

[2]
Here is Mn3SbH after structural relaxation from the Alexandria database. Energies are from PBE.

Computed properties:
Distance to the lowest polymorph of the same formula   223 meV/atom
Total moment   8.5 μB per formula unit

```
data_Mn3SbH
_cell_length_a 6.8164
_cell_length_b 6.8164
_cell_length_c 9.5203
_cell_angle_alpha 90.00
_cell_angle_beta 90.00
_cell_angle_gamma 120.00
_symmetry_space_group_name_H-M 'R -3 c'
_symmetry_Int_Tables_number 167
_symmetry_space_group_name_Hall '-R 3 2"c'
loop_
_atom_site_label
_atom_site_fract_x
_atom_site_fract_y
_atom_site_fract_z
Mn1 0.0000 0.2491 0.2500
Sb1 0.0000 0.0000 0.0000
H1 0.0000 0.0000 0.2500
```

[3]
Here is MnSb2H after structural relaxation from the Alexandria database. Energies are from PBE.

Computed properties:
Distance to the lowest polymorph of the same formula   8 meV/atom
Total moment   0.0 μB per formula unit

```
data_MnSb2H
_cell_length_a 6.185
_cell_length_b 6.185
_cell_length_c 6.840
_cell_angle_alpha 90.00
_cell_angle_beta 90.00
_cell_angle_gamma 90.00
_symmetry_space_group_name_H-M 'I -4 2 d'
_symmetry_Int_Tables_number 122
_symmetry_space_group_name_Hall 'I -4 2bw'
loop_
_atom_site_label
_atom_site_fract_x
_atom_site_fract_y
_atom_site_fract_z
Mn1 0.000 0.000 0.000
Sb1 0.195 0.250 0.625
H1 0.000 0.000 0.500
```

[4]
Here is Mn3SbH after structural relaxation from the Alexandria database. Energies are from PBE.

Computed properties:
Distance to the lowest polymorph of the same formula   124 meV/atom
Total moment   0.9 μB per formula unit

```
data_Mn3SbH
_cell_length_a 3.646
_cell_length_b 4.410
_cell_length_c 9.434
_cell_angle_alpha 84.04
_cell_angle_beta 78.94
_cell_angle_gamma 65.58
_symmetry_space_group_name_H-M 'P -1'
_symmetry_Int_Tables_number 2
loop_
_symmetry_equiv_pos_as_xyz
'x,y,z'
'-x,-y,-z'
loop_
_atom_site_label
_atom_site_fract_x
_atom_site_fract_y
_atom_site_fract_z
Mn1 0.010 0.116 0.362
Mn2 0.326 0.306 0.542
Mn3 0.354 0.499 0.290
Sb1 0.291 0.086 0.834
H1 0.164 0.717 0.455
```

[5]
Here is Mn3SbH after structural relaxation from the Alexandria database. Energies are from PBE.

Computed properties:
Distance to the lowest polymorph of the same formula   847 meV/atom
Total moment   0.8 μB per formula unit

```
data_Mn3SbH
_cell_length_a 4.030
_cell_length_b 4.030
_cell_length_c 19.616
_cell_angle_alpha 90.00
_cell_angle_beta 90.00
_cell_angle_gamma 90.00
_symmetry_space_group_name_H-M 'I -4 m 2'
_symmetry_Int_Tables_number 119
_symmetry_space_group_name_Hall 'I -4 -2'
loop_
_atom_site_label
_atom_site_fract_x
_atom_site_fract_y
_atom_site_fract_z
Mn1 0.000 0.000 0.156
Mn2 0.000 0.244 0.619
Sb1 0.000 0.000 0.500
Sb2 0.000 0.500 0.750
H1 0.000 0.500 0.137
```

[6]
Here is Mn3SbH after structural relaxation from the Alexandria database. Energies are from PBE.

Computed properties:
Distance to the lowest polymorph of the same formula   136 meV/atom
Total moment   0.5 μB per formula unit

```
data_Mn3SbH
_cell_length_a 11.238
_cell_length_b 8.024
_cell_length_c 5.477
_cell_angle_alpha 90.00
_cell_angle_beta 103.72
_cell_angle_gamma 90.00
_symmetry_space_group_name_H-M 'C 1 2/c 1'
_symmetry_Int_Tables_number 15
loop_
_symmetry_equiv_pos_as_xyz
'x,y,z'
'-x,-y,-z'
'-x,y,-z+1/2'
'x,-y,z+1/2'
'x+1/2,y+1/2,z'
'-x+1/2,-y+1/2,-z'
'-x+1/2,y+1/2,-z+1/2'
'x+1/2,-y+1/2,z+1/2'
loop_
_atom_site_label
_atom_site_fract_x
_atom_site_fract_y
_atom_site_fract_z
Mn1 0.177 0.168 0.097
Mn2 0.181 0.169 0.585
Mn3 0.187 0.500 0.094
Sb1 0.000 0.052 0.750
Sb2 0.000 0.360 0.250
H1 0.164 0.336 0.842
```